(1)
Density functional theory data (PBE) for a relaxed Se2SO crystal.

The value obtained for the volume is 20.34 A^3/atom. For the density of states at the Fermi level, the calculation gives 2.0 states/eV/f.u. The calculation puts the distance to the lowest polymorph of the same formula at 0.00 eV per formula unit. Its total energy is -3.7049 eV/atom. The crystal system is trigonal.

Structure (CIF):
```
data_Se2SO
_symmetry_space_group_name_H-M 'P 1'
_symmetry_Int_Tables_number 1
_symmetry_space_group_name_Hall 'P 1'
_cell_length_a 7.4959
_cell_length_b 7.4959
_cell_length_c 7.4959
_cell_angle_alpha 27.88
_cell_angle_beta 27.88
_cell_angle_gamma 27.88
loop_
_atom_site_label
_atom_site_type_symbol
_atom_site_fract_x
_atom_site_fract_y
_atom_site_fract_z
S1 S 0.5000 0.5000 0.5000
O1 O 0.0000 0.0000 0.0000
Se1 Se 0.9134 0.9134 0.9134
Se2 Se 0.0866 0.0866 0.0866
```

---

(2)
Density functional theory data (PBE) for a relaxed SeS2O crystal.

The value obtained for the volume is 17.64 A^3/atom. For the density of states at the Fermi level, the calculation gives 1.8 states/eV/f.u. The calculation puts the distance to the lowest polymorph of the same formula at 1.36 eV per formula unit. Its total energy is -3.4859 eV/atom. The crystal system is tetragonal.

Structure (CIF):
```
data_SeS2O
_symmetry_space_group_name_H-M 'P 1'
_symmetry_Int_Tables_number 1
_symmetry_space_group_name_Hall 'P 1'
_cell_length_a 4.5043
_cell_length_b 4.5043
_cell_length_c 7.6505
_cell_angle_alpha 72.88
_cell_angle_beta 72.88
_cell_angle_gamma 90.00
loop_
_atom_site_label
_atom_site_type_symbol
_atom_site_fract_x
_atom_site_fract_y
_atom_site_fract_z
S1 S 0.5158 0.1250 0.2500
S2 S 0.2342 0.6250 0.2500
S3 S 0.3750 0.4842 0.7500
S4 S 0.8750 0.7658 0.7500
O1 O 0.5000 0.5000 0.0000
O2 O 0.2500 0.7500 0.5000
Se1 Se 0.0000 0.0000 0.0000
Se2 Se 0.7500 0.2500 0.5000
```

---

(3)
Density functional theory data (PBE) for a relaxed Se2SO8 crystal.

The value obtained for the volume is 17.64 A^3/atom. For the density of states at the Fermi level, the calculation gives 0.3 states/eV/f.u. Its total energy is -4.9518 eV/atom. The crystal system is monoclinic.

Structure (CIF):
```
data_Se2SO8
_symmetry_space_group_name_H-M 'P 1'
_symmetry_Int_Tables_number 1
_symmetry_space_group_name_Hall 'P 1'
_cell_length_a 6.2612
_cell_length_b 6.2612
_cell_length_c 8.9290
_cell_angle_alpha 80.53
_cell_angle_beta 145.44
_cell_angle_gamma 93.45
loop_
_atom_site_label
_atom_site_type_symbol
_atom_site_fract_x
_atom_site_fract_y
_atom_site_fract_z
Se1 Se 0.6498 0.7200 0.3698
Se2 Se 0.3502 0.2800 0.6302
S1 S 0.0000 0.0000 0.0000
O1 O 0.8417 0.2645 0.8279
O2 O 0.5634 0.9861 0.8279
O3 O 0.1583 0.7355 0.1721
O4 O 0.3836 0.4079 0.7914
O5 O 0.4366 0.0139 0.1721
O6 O 0.8549 0.9168 0.7718
O7 O 0.1451 0.0832 0.2282
O8 O 0.6164 0.5921 0.2086
```

---

(4)
Density functional theory data (PBE) for a relaxed Si2SeSO crystal.

The value obtained for the volume is 20.94 A^3/atom. For the density of states at the Fermi level, the calculation gives 4.1 states/eV/f.u. Its total energy is -3.4970 eV/atom. The crystal system is tetragonal.

Structure (CIF):
```
data_Si2SeSO
_symmetry_space_group_name_H-M 'P 1'
_symmetry_Int_Tables_number 1
_symmetry_space_group_name_Hall 'P 1'
_cell_length_a 4.7402
_cell_length_b 4.6587
_cell_length_c 4.7402
_cell_angle_alpha 90.00
_cell_angle_beta 90.00
_cell_angle_gamma 90.00
loop_
_atom_site_label
_atom_site_type_symbol
_atom_site_fract_x
_atom_site_fract_y
_atom_site_fract_z
O1 O 0.5000 0.5000 0.5000
S1 S 0.0000 0.0000 0.0000
Si1 Si 0.0000 0.0000 0.5000
Si2 Si 0.5000 0.0000 0.0000
Se1 Se 0.0000 0.5000 0.0000
```

---

(5)
Density functional theory data (PBE) for a relaxed Sm8Se3S3O crystal.

The value obtained for the volume is 24.74 A^3/atom. For the density of states at the Fermi level, the calculation gives 3.6 states/eV/f.u. Its total energy is -6.2094 eV/atom. The crystal system is trigonal.

Structure (CIF):
```
data_Sm8Se3S3O
_symmetry_space_group_name_H-M 'P 1'
_symmetry_Int_Tables_number 1
_symmetry_space_group_name_Hall 'P 1'
_cell_length_a 8.0191
_cell_length_b 8.0191
_cell_length_c 8.1143
_cell_angle_alpha 119.61
_cell_angle_beta 90.00
_cell_angle_gamma 120.00
loop_
_atom_site_label
_atom_site_type_symbol
_atom_site_fract_x
_atom_site_fract_y
_atom_site_fract_z
Sm1 Sm 0.2578 0.5155 0.2733
Sm2 Sm 0.7422 0.4845 0.7267
Sm3 Sm 0.7740 0.5480 0.2849
Sm4 Sm 0.2260 0.4520 0.7151
Sm5 Sm 0.7740 0.0110 0.2849
Sm6 Sm 0.2260 0.9890 0.7151
Sm7 Sm 0.2370 0.0110 0.2849
Sm8 Sm 0.7630 0.9890 0.7151
Se1 Se 0.0000 0.0000 0.0000
Se2 Se 0.0000 0.5000 0.0000
Se3 Se 0.5000 0.5000 0.0000
S1 S 0.5000 0.0000 0.5000
S2 S 0.5000 0.5000 0.5000
S3 S 0.0000 0.5000 0.5000
O1 O 0.0000 0.0000 0.5000
```

---

(6)
Density functional theory data (PBE) for a relaxed Tb8Se3S3O crystal.

The value obtained for the volume is 23.24 A^3/atom. For the density of states at the Fermi level, the calculation gives 4.1 states/eV/f.u. Its total energy is -6.1386 eV/atom. The crystal system is trigonal.

Structure (CIF):
```
data_Tb8Se3S3O
_symmetry_space_group_name_H-M 'P 1'
_symmetry_Int_Tables_number 1
_symmetry_space_group_name_Hall 'P 1'
_cell_length_a 7.8488
_cell_length_b 7.8489
_cell_length_c 7.9514
_cell_angle_alpha 119.58
_cell_angle_beta 90.00
_cell_angle_gamma 120.00
loop_
_atom_site_label
_atom_site_type_symbol
_atom_site_fract_x
_atom_site_fract_y
_atom_site_fract_z
Tb1 Tb 0.2584 0.5168 0.2753
Tb2 Tb 0.7416 0.4832 0.7247
Tb3 Tb 0.7735 0.5471 0.2854
Tb4 Tb 0.2265 0.4529 0.7146
Tb5 Tb 0.7735 0.0119 0.2854
Tb6 Tb 0.2265 0.9881 0.7146
Tb7 Tb 0.2384 0.0119 0.2854
Tb8 Tb 0.7616 0.9881 0.7146
Se1 Se 0.0000 0.0000 0.0000
Se2 Se 0.0000 0.5000 0.0000
Se3 Se 0.5000 0.5000 0.0000
S1 S 0.5000 0.0000 0.5000
S2 S 0.5000 0.5000 0.5000
S3 S 0.0000 0.5000 0.5000
O1 O 0.0000 0.0000 0.5000
```

---

(7)
Density functional theory data (PBE) for a relaxed TeSe2SO crystal.

The value obtained for the volume is 29.18 A^3/atom. For the density of states at the Fermi level, the calculation gives 9.9 states/eV/f.u. Its total energy is -2.5970 eV/atom. The crystal system is tetragonal.

Structure (CIF):
```
data_TeSe2SO
_symmetry_space_group_name_H-M 'P 1'
_symmetry_Int_Tables_number 1
_symmetry_space_group_name_Hall 'P 1'
_cell_length_a 5.3974
_cell_length_b 5.0077
_cell_length_c 5.3974
_cell_angle_alpha 90.00
_cell_angle_beta 90.00
_cell_angle_gamma 90.00
loop_
_atom_site_label
_atom_site_type_symbol
_atom_site_fract_x
_atom_site_fract_y
_atom_site_fract_z
S1 S 0.0000 0.5000 0.0000
Te1 Te 0.0000 0.0000 0.0000
O1 O 0.5000 0.5000 0.5000
Se1 Se 0.0000 0.0000 0.5000
Se2 Se 0.5000 0.0000 0.0000
```

---

(8)
Density functional theory data (PBE) for a relaxed YSeS2O crystal.

The value obtained for the volume is 19.15 A^3/atom. For the density of states at the Fermi level, the calculation gives 5.5 states/eV/f.u. Its total energy is -5.0651 eV/atom. The crystal system is tetragonal.

Structure (CIF):
```
data_YSeS2O
_symmetry_space_group_name_H-M 'P 1'
_symmetry_Int_Tables_number 1
_symmetry_space_group_name_Hall 'P 1'
_cell_length_a 4.6978
_cell_length_b 4.3396
_cell_length_c 4.6978
_cell_angle_alpha 90.00
_cell_angle_beta 90.00
_cell_angle_gamma 90.00
loop_
_atom_site_label
_atom_site_type_symbol
_atom_site_fract_x
_atom_site_fract_y
_atom_site_fract_z
Y1 Y 0.0000 0.5000 0.0000
S1 S 0.0000 0.0000 0.5000
S2 S 0.5000 0.0000 0.0000
O1 O 0.0000 0.0000 0.0000
Se1 Se 0.5000 0.5000 0.5000
```

---

(9)
Density functional theory data (PBE) for a relaxed Y2SeSO crystal.

The value obtained for the volume is 20.97 A^3/atom. For the density of states at the Fermi level, the calculation gives 3.7 states/eV/f.u. Its total energy is -6.2215 eV/atom. The crystal system is tetragonal.

Structure (CIF):
```
data_Y2SeSO
_symmetry_space_group_name_H-M 'P 1'
_symmetry_Int_Tables_number 1
_symmetry_space_group_name_Hall 'P 1'
_cell_length_a 5.1691
_cell_length_b 3.9236
_cell_length_c 5.1691
_cell_angle_alpha 90.00
_cell_angle_beta 90.00
_cell_angle_gamma 90.00
loop_
_atom_site_label
_atom_site_type_symbol
_atom_site_fract_x
_atom_site_fract_y
_atom_site_fract_z
Y1 Y 0.0000 0.0000 0.5000
Y2 Y 0.5000 0.0000 0.0000
S1 S 0.0000 0.0000 0.0000
O1 O 0.0000 0.5000 0.0000
Se1 Se 0.5000 0.5000 0.5000
```